Record 1
Density functional theory data (PBE-GGA) for an optimized crystal structure of CsTcAgSe2S.

Final energy: -4.51 eV/atom
SG: Cmcm (63)

Lattice parameters (Å, degrees): 8.309 8.309 10.058 90.00 90.00 152.94
Fractional coordinates of all 12 atoms:
Cs1 0.248 0.752 0.750
Cs2 0.752 0.248 0.250
Tc1 0.000 0.000 0.000
Tc2 0.000 0.000 0.500
Ag1 0.459 0.541 0.250
Ag2 0.541 0.459 0.750
Se1 0.391 0.609 0.020
Se2 0.391 0.609 0.480
Se3 0.609 0.391 0.520
Se4 0.609 0.391 0.980
S1 0.056 0.944 0.250
S2 0.944 0.056 0.750

Record 2
Density functional theory data (PBE-GGA) for an optimized crystal structure of CsTcAgSeS2.

Final energy: -4.65 eV/atom
SG: Cmcm (63)

Lattice parameters (Å, degrees): 8.324 8.324 10.120 90.00 90.00 154.10
Fractional coordinates of all 12 atoms:
Cs1 0.244 0.756 0.750
Cs2 0.756 0.244 0.250
Tc1 0.000 0.000 0.000
Tc2 0.000 0.000 0.500
Ag1 0.450 0.550 0.250
Ag2 0.550 0.450 0.750
Se1 0.064 0.936 0.250
Se2 0.936 0.064 0.750
S1 0.398 0.602 0.024
S2 0.398 0.602 0.476
S3 0.602 0.398 0.524
S4 0.602 0.398 0.976

Record 3
Density functional theory data (PBE-GGA) for an optimized crystal structure of CsZrAgSeS2.

SG: Cmcm (63)
Relative energy among the computed polymorphs: 0.0598 eV per atom

Lattice parameters (Å, degrees): 8.268 8.268 10.429 90.00 90.00 152.63
Fractional coordinates of all 12 atoms:
Cs1 0.248 0.752 0.750
Cs2 0.752 0.248 0.250
Zr1 0.000 0.000 0.000
Zr2 0.000 0.000 0.500
Ag1 0.456 0.544 0.250
Ag2 0.544 0.456 0.750
Se1 0.066 0.934 0.250
Se2 0.934 0.066 0.750
S1 0.392 0.608 0.035
S2 0.392 0.608 0.465
S3 0.608 0.392 0.535
S4 0.608 0.392 0.965

Record 4
Density functional theory data (PBE-GGA) for an optimized crystal structure of CsZrAgSeS2.

SG: P2_1/m (11)
Relative energy among the computed polymorphs: 0.0392 eV per atom

Lattice parameters (Å, degrees): 9.190 3.973 10.023 90.00 113.17 90.00
Fractional coordinates of all 12 atoms:
Cs1 0.225 0.250 0.265
Cs2 0.775 0.750 0.735
Zr1 0.310 0.750 0.839
Zr2 0.690 0.250 0.161
Ag1 0.078 0.250 0.607
Ag2 0.922 0.750 0.393
Se1 0.471 0.750 0.141
Se2 0.529 0.250 0.859
S1 0.141 0.250 0.875
S2 0.238 0.750 0.568
S3 0.762 0.250 0.432
S4 0.859 0.750 0.125

Record 5
Density functional theory data (PBE-GGA) for an optimized crystal structure of CsZrAgSeS2.

SG: P2_1/m (11)
Relative energy among the computed polymorphs: 0.0156 eV per atom

Lattice parameters (Å, degrees): 8.942 3.970 10.076 90.00 113.56 90.00
Fractional coordinates of all 12 atoms:
Cs1 0.244 0.250 0.221
Cs2 0.756 0.750 0.779
Zr1 0.181 0.750 0.655
Zr2 0.819 0.250 0.345
Ag1 0.422 0.250 0.892
Ag2 0.578 0.750 0.108
Se1 0.378 0.250 0.620
Se2 0.622 0.750 0.380
S1 0.021 0.750 0.368
S2 0.253 0.750 0.925
S3 0.747 0.250 0.075
S4 0.979 0.250 0.632

Record 6
Density functional theory data (PBE-GGA) for an optimized crystal structure of CsZrAgSeS2.

SG: P2_1/m (11)
Relative energy among the computed polymorphs: 0.0000 eV per atom

Lattice parameters (Å, degrees): 8.878 3.934 10.255 90.00 113.60 90.00
Fractional coordinates of all 12 atoms:
Cs1 0.244 0.250 0.260
Cs2 0.756 0.750 0.740
Zr1 0.316 0.750 0.850
Zr2 0.684 0.250 0.150
Ag1 0.072 0.250 0.609
Ag2 0.928 0.750 0.391
Se1 0.262 0.750 0.574
Se2 0.738 0.250 0.426
S1 0.130 0.250 0.870
S2 0.473 0.750 0.126
S3 0.527 0.250 0.874
S4 0.870 0.750 0.130